Entry 1:
Pu2MgFe9: relaxed, GGA-PBE.

a b c (Å): 4.864 4.864 16.546
angles (deg): 90.00 90.00 120.00
Fractional coordinates of all 24 atoms:
Fe: 0.167 0.833 0.370
Fe: 0.833 0.167 0.870
Fe: 0.833 0.666 0.870
Fe: 0.666 0.833 0.130
Fe: 0.000 0.000 0.000
Fe: 0.334 0.167 0.630
Fe: 0.666 0.833 0.370
Fe: 0.000 0.000 0.250
Fe: 0.167 0.833 0.130
Fe: 0.333 0.667 0.250
Fe: 0.167 0.334 0.130
Fe: 0.000 0.000 0.750
Fe: 0.833 0.167 0.630
Fe: 0.667 0.333 0.750
Fe: 0.334 0.167 0.870
Fe: 0.833 0.666 0.630
Fe: 0.000 0.000 0.500
Fe: 0.167 0.334 0.370
Pu: 0.333 0.667 0.969
Pu: 0.667 0.333 0.031
Pu: 0.667 0.333 0.469
Pu: 0.333 0.667 0.531
Mg: 0.667 0.333 0.250
Mg: 0.333 0.667 0.750

## Properties
volume = 338.9 Å³/cell
space-group type = No. 194
energy = -8.682 eV per atom
ρ = 9.9 Mg/m³
formation energy = 0.187 eV per atom


Entry 2:
Sm5Sc3: relaxed, GGA-PBE.

a b c (Å): 8.947 8.947 8.782
angles (deg): 120.62 120.62 90.00
Fractional coordinates of all 16 atoms:
Sc: 0.644 0.856 0.000
Sc: 0.144 0.644 0.000
Sc: 0.856 0.356 0.000
Sc: 0.750 0.750 0.500
Sc: 0.250 0.250 0.500
Sc: 0.356 0.144 0.000
Sm: 0.500 0.500 0.000
Sm: 0.490 0.990 0.677
Sm: 0.000 0.000 0.000
Sm: 0.813 0.313 0.323
Sm: 0.187 0.687 0.677
Sm: 0.010 0.813 0.323
Sm: 0.313 0.510 0.323
Sm: 0.990 0.187 0.677
Sm: 0.510 0.010 0.323
Sm: 0.687 0.490 0.677

## Properties
volume = 487.5 Å³/cell
energy relative to the lowest polymorph listed for this composition = 0.588 eV per formula unit
space-group type = No. 140
energy = -5.197 eV per atom
ρ = 6.0 Mg/m³
formation energy = 0.127 eV per atom


Entry 3:
Sr5Mn: relaxed, GGA-PBE.

a b c (Å): 7.410 7.410 10.005
angles (deg): 69.14 69.14 32.66
Fractional coordinates of all 6 atoms:
Sr: 0.832 0.832 0.787
Sr: 0.869 0.869 0.371
Sr: 0.500 0.500 0.000
Sr: 0.131 0.131 0.629
Sr: 0.168 0.168 0.213
Mn: 0.500 0.500 0.500

## Properties
volume = 275.3 Å³/cell
energy relative to the lowest polymorph listed for this composition = 0.000 eV per formula unit
space-group type = No. 12
energy = -2.700 eV per atom
ρ = 3.0 Mg/m³
formation energy = 0.230 eV per atom